# 1
The following is a PBE calculation of an optimized crystal structure of PrScSe2Cl, from Alexandria via LeMat-Bulk.

Calculated values
N(E_F)   4.109 states/eV/cell
Crystal system   tetragonal
Space group   P4/nmm, No. 129
Formation energy (no corrections)   -1.78 eV per atom

```
10
Lattice="4.1405 0.0000 0.0000 0.0000 4.1405 0.0000 0.0000 0.0000 13.7883" Properties=species:S:1:pos:R:3 pbc="T T T"
Pr 0.0000 2.0703 4.8033
Pr 2.0703 0.0000 8.9851
Se 2.0703 0.0000 3.9336
Se 0.0000 2.0703 9.8547
Se 0.0000 2.0703 1.4930
Se 2.0703 0.0000 12.2953
Cl 2.0703 2.0703 6.8942
Cl 0.0000 0.0000 6.8942
Sc 0.0000 2.0703 12.5819
Sc 2.0703 0.0000 1.2064
```

# 2
The following is a PBE calculation of an optimized crystal structure of BeCu3, from Alexandria via LeMat-Bulk.

Calculated values
Calculated total energy   -4.015 eV per atom
N(E_F)   0.434 states/eV/cell
Crystal system   cubic
Space group   Pm-3m, No. 221

```
4
Lattice="-0.9129 3.2077 1.1524 -0.8438 -1.3686 3.1409 3.3023 0.5370 1.1212" Properties=species:S:1:pos:R:3 pbc="T T T"
Cu 1.2292 -0.4158 2.1311
Cu -0.8784 0.9196 2.1467
Cu 1.1947 1.8723 1.1368
Be 0.0000 0.0000 0.0000
```

# 3
The following is a PBE calculation of an optimized crystal structure of BeFe2Sn, from Alexandria via LeMat-Bulk.

Calculated values
Excess energy over the best structure of this formula in the dataset   0.0 meV per atom
N(E_F)   5.416 states/eV/cell
Crystal system   cubic
Space group   Fm-3m, No. 225

```
4
Lattice="0.0000 2.9168 2.9168 2.9168 0.0000 2.9168 2.9168 2.9168 0.0000" Properties=species:S:1:pos:R:3 pbc="T T T"
Be 0.0000 0.0000 0.0000
Sn 2.9168 2.9168 2.9168
Fe 1.4584 1.4584 1.4584
Fe 4.3752 4.3752 4.3752
```

# 4
The following is a PBE calculation of an optimized crystal structure of CsPdW2Se8, from Alexandria via LeMat-Bulk.

Calculated values
N(E_F)   6.297 states/eV/cell
Crystal system   trigonal
Space group   R-3, No. 148
Formation energy (no corrections)   -0.32 eV per atom

```
12
Lattice="6.4630 0.0000 0.0000 3.2315 5.5971 0.0000 3.2315 1.8657 10.1705" Properties=species:S:1:pos:R:3 pbc="T T T"
Se 4.3464 3.6529 8.6356
Se 8.5796 3.8099 1.5349
Se 9.6945 5.5971 5.5913
Se 5.4727 1.8592 1.5349
Se 7.5893 1.9376 8.6356
Se 3.2315 1.8657 4.5792
Se 7.4533 5.6037 8.6356
Se 5.3368 5.5252 1.5349
Pd 0.0000 0.0000 0.0000
Cs 6.4630 3.7314 5.0853
W 3.2315 1.8657 2.2613
W 9.6945 5.5971 7.9092
```

# 5
The following is a PBE calculation of an optimized crystal structure of InIrRh2, from Alexandria via LeMat-Bulk.

Calculated values
Calculated total energy   -6.508 eV per atom
N(E_F)   3.836 states/eV/cell
Crystal system   trigonal
Space group   R-3m, No. 166

```
4
Lattice="8.8925 -1.4314 -0.0021 8.8925 1.4314 -0.0021 8.6627 0.0000 2.4665" Properties=species:S:1:pos:R:3 pbc="T T T"
Rh 6.6769 0.0000 0.6216
Rh 19.7709 0.0000 1.8406
Ir 0.0000 0.0000 0.0000
In 13.2239 0.0000 1.2311
```

# 6
The following is a PBE calculation of an optimized crystal structure of HOsS, from Alexandria via LeMat-Bulk.

Calculated values
Calculated total energy   -6.157 eV per atom
N(E_F)   0.984 states/eV/cell
Crystal system   triclinic
Space group   P-1, No. 2

```
6
Lattice="3.0485 0.1591 0.1642 -1.0723 5.2268 -0.1947 -0.1879 -2.0978 5.8310" Properties=species:S:1:pos:R:3 pbc="T T T"
Os 0.9188 0.3499 3.0952
Os 0.8695 2.9383 2.7053
S -0.5908 3.9167 1.2952
S 2.3791 -0.6285 4.5053
H 0.5845 1.7843 4.1009
H 1.2039 1.5038 1.6996
```

# 7
The following is a PBE calculation of an optimized crystal structure of Rb2SBrCl6, from Alexandria via LeMat-Bulk.

Calculated values
N(E_F)   3.495 states/eV/cell
Crystal system   cubic
Space group   Fm-3m, No. 225
Formation energy (no corrections)   -0.79 eV per atom

```
10
Lattice="-3.4616 -2.5276 6.2115 -3.0073 -6.9211 0.0923 3.1853 -5.4432 4.1447" Properties=species:S:1:pos:R:3 pbc="T T T"
Br -1.6418 -7.4459 5.2243
Cl 1.0698 -6.3209 4.6178
Cl -4.3534 -8.5710 5.8307
Cl -0.6195 -10.2088 4.6697
Cl -2.4088 -7.1511 2.3414
Cl -0.8747 -7.7408 8.1071
Cl -2.6641 -4.6830 5.7788
Rb -0.8209 -3.7230 2.6121
Rb -2.4627 -11.1689 7.8364
S 0.0000 0.0000 0.0000
```

# 8
The following is a PBE calculation of an optimized crystal structure of Tm2Co5Ni5, from Alexandria via LeMat-Bulk.

Calculated values
Calculated total energy   -6.343 eV per atom
N(E_F)   15.905 states/eV/cell
Crystal system   orthorhombic
Space group   Pmmm, No. 47

```
12
Lattice="-2.8269 -1.8871 2.1104 3.0665 -3.5517 0.9317 2.5383 4.0282 7.0019" Properties=species:S:1:pos:R:3 pbc="T T T"
Tm 1.2691 2.0141 3.5010
Tm 1.5332 -1.7759 0.4658
Ni 3.2310 0.9184 5.1492
Ni 2.3738 -0.4420 2.7844
Ni 0.4250 0.6744 1.1724
Ni -1.4135 -0.9436 1.0552
Ni 2.1133 3.3537 5.8296
Co 1.2414 1.1812 6.5113
Co 1.3889 -0.7053 5.0220
Co -0.0085 -0.8024 3.0633
Co 1.5365 -2.5919 3.5327
Co 2.7864 -0.6083 6.9807
```

# 9
The following is a PBE calculation of an optimized crystal structure of PaTlSnO6, from Alexandria via LeMat-Bulk.

Calculated values
N(E_F)   0.000 states/eV/cell
Crystal system   tetragonal
Space group   P4_2nm, No. 102
Formation energy (no corrections)   -2.07 eV per atom

```
18
Lattice="-4.2846 -0.4692 -2.6552 2.6642 0.0311 -4.3045 0.8399 -10.1944 0.4461" Properties=species:S:1:pos:R:3 pbc="T T T"
O -0.8740 -3.6240 -4.7816
O 0.3233 -10.2755 -1.7548
O 1.4594 -1.8960 -3.9027
O -0.2004 -3.4419 -1.8882
O -2.7783 -2.2011 -2.8969
O -0.2734 -10.4368 -4.3178
O 1.9128 -8.4839 -3.5937
O -2.5899 -5.4170 -2.7384
O 1.8000 -5.1009 -3.7803
O -2.1472 -8.7763 -2.6300
O -0.5556 -7.2312 -4.5345
O 0.0766 -7.0603 -1.8191
Pa -0.6682 -1.9425 -3.4045
Pa 0.5619 -6.8207 0.2985
Tl -0.3901 -5.3184 -3.2568
Tl 0.0002 -0.0022 0.0001
Sn -0.1107 -8.7097 -3.1084
Sn 0.2796 -3.3934 0.1485
```

# 10
The following is a PBE calculation of an optimized crystal structure of Dy15Tm2Mg2, from Alexandria via LeMat-Bulk.

Calculated values
Calculated total energy   -4.028 eV per atom
N(E_F)   22.066 states/eV/cell
Crystal system   trigonal
Space group   R-3m, No. 166

```
19
Lattice="8.2688 -0.6306 2.1427 1.4996 8.1561 2.1427 -0.8186 -0.6306 8.5026" Properties=species:S:1:pos:R:3 pbc="T T T"
Dy 6.2483 1.9920 2.1427
Dy -0.1267 1.9920 6.6043
Dy 4.9713 0.4164 7.1034
Dy 3.5200 5.5334 2.1427
Dy 6.1016 4.7006 4.0025
Dy 5.5564 -0.6306 4.0410
Dy 0.7498 4.0780 1.0714
Dy 2.8481 2.1941 8.7855
Dy 4.1344 -0.3153 1.0714
Dy 1.8938 -0.6306 6.6043
Dy 0.8077 5.5334 4.0410
Dy 7.2789 2.1941 5.6846
Dy 1.6708 4.7006 7.1034
Dy 3.9784 6.4783 5.6846
Dy -0.4093 -0.3153 4.2513
Mg 8.1183 6.2542 11.6000
Mg 0.8315 0.6406 1.1881
Tm 6.0451 4.6571 8.6376
Tm 2.9047 2.2377 4.1504
```

# 11
The following is a PBE calculation of an optimized crystal structure of K3U3TcSe8, from Alexandria via LeMat-Bulk.

Calculated values
N(E_F)   13.712 states/eV/cell
Crystal system   trigonal
Space group   R-3m, No. 166
Formation energy (no corrections)   -1.05 eV per atom

```
15
Lattice="-0.5988 -0.5673 7.8586 -6.3843 -1.0480 -4.5341 6.0740 -7.0428 -0.0475" Properties=species:S:1:pos:R:3 pbc="T T T"
U -0.4546 -4.3290 1.6385
U 2.7376 -3.8050 3.9056
U -0.1552 -4.0454 -2.2908
Se 1.2749 -5.4940 -0.3003
Se -2.1290 -6.0532 -2.7176
Se -2.4482 -6.3554 1.4720
Se 1.5390 -2.3026 1.8050
Se -1.7650 -2.7131 -0.3307
Se 1.2198 -2.6048 5.9946
Se 0.8558 -5.9449 3.6077
Se -2.1841 -3.1640 3.5773
Tc 3.0370 -3.5214 -0.0237
K -3.1922 -0.5240 -2.2670
K 0.0000 0.0000 0.0000
K -3.4916 -0.8076 1.6623
```

# 12
The following is a PBE calculation of an optimized crystal structure of Fe4NiIr15, from Alexandria via LeMat-Bulk.

Calculated values
Calculated total energy   -8.631 eV per atom
N(E_F)   23.522 states/eV/cell
Crystal system   tetragonal
Space group   P4/mmm, No. 123

```
20
Lattice="-0.6851 -3.0641 2.1576 3.6575 -0.0689 1.0636 -4.0807 11.3095 14.7656" Properties=species:S:1:pos:R:3 pbc="T T T"
Fe -2.4535 6.7998 8.8778
Fe -1.6272 4.5097 5.8878
Fe -3.2781 9.0850 11.8613
Fe -0.8026 2.2245 2.9042
Ir 0.6113 3.3398 4.9371
Ir 1.4862 -1.5665 1.6106
Ir -3.2057 6.4032 11.4390
Ir -0.2116 5.6203 7.9146
Ir -0.9649 5.2268 10.4799
Ir -1.5600 1.8422 5.4842
Ir 0.6714 0.6919 4.5591
Ir -0.7567 -0.3842 2.5775
Ir -2.3829 4.1227 8.4616
Ir -0.1433 2.9497 7.5068
Ir -1.0344 7.9008 10.8920
Ir -4.0091 8.6296 14.3457
Ir -1.8377 10.1272 13.7987
Ir 1.4146 1.1134 2.0304
Ir -1.7796 7.4846 13.4276
Ni 0.0000 0.0000 0.0000
```

# 13
The following is a PBE calculation of an optimized crystal structure of K3CeSb2O9, from Alexandria via LeMat-Bulk.

Calculated values
N(E_F)   9.468 states/eV/cell
Crystal system   trigonal
Space group   P-3m1, No. 164
Formation energy (no corrections)   -1.85 eV per atom

```
15
Lattice="-5.4266 1.9304 1.2462 2.4415 -4.2466 3.2762 2.8103 5.0373 4.4350" Properties=species:S:1:pos:R:3 pbc="T T T"
O -2.7133 0.9652 0.6231
O -0.6273 -0.6560 4.9172
O -2.1307 4.2959 4.6333
O -0.9685 2.2745 6.1928
O 0.4524 3.3770 4.0402
O 0.7937 0.4466 2.7645
O 1.2207 -2.1233 1.6381
O 1.9559 -1.5749 4.3240
O -1.4926 -1.1581 2.2612
K 1.6949 1.1752 5.5603
K 0.0000 0.0000 0.0000
K -1.8697 1.5459 3.3971
Sb 0.2632 -1.3910 3.3008
Sb -0.4380 4.1121 5.6565
Ce 1.4052 2.5186 2.2175
```

# 14
The following is a PBE calculation of an optimized crystal structure of Bi2C2O6F, from Alexandria via LeMat-Bulk.

Calculated values
N(E_F)   2.983 states/eV/cell
Crystal system   triclinic
Space group   P-1, No. 2
Formation energy (no corrections)   -1.30 eV per atom

```
11
Lattice="-2.2498 4.1550 3.3215 -5.5832 -1.8219 -0.1360 4.5115 -1.1854 4.5590" Properties=species:S:1:pos:R:3 pbc="T T T"
C -2.8117 2.4499 3.3745
C -0.5098 -1.3022 4.3699
O 0.3701 -2.2835 4.2500
O -0.4885 -0.7103 5.5472
O -3.6916 3.4312 3.4945
O -1.2740 -0.9481 3.4380
O -2.0475 2.0958 4.3064
O -2.8330 1.8580 2.1972
Bi -3.0897 -0.6653 1.9732
Bi -0.2318 1.8130 5.7712
F 1.1308 1.4848 3.9402
```

# 15
The following is a PBE calculation of an optimized crystal structure of CeCuH, from Alexandria via LeMat-Bulk.

Calculated values
Calculated total energy   -4.639 eV per atom
N(E_F)   9.419 states/eV/cell
Crystal system   monoclinic
Space group   C2/m, No. 12

```
6
Lattice="3.8063 0.0000 0.0000 -1.9032 3.7892 0.2405 0.0000 -1.5389 6.4336" Properties=species:S:1:pos:R:3 pbc="T T T"
Ce 0.0000 -0.7935 5.2199
Ce 1.9032 3.0439 1.4543
Cu 0.0000 1.8245 3.3581
Cu 1.9032 0.4259 3.3161
H 0.0000 1.3199 6.2827
H 1.9032 0.9304 0.3915
```

# 16
The following is a PBE calculation of an optimized crystal structure of MgReBr, from Alexandria via LeMat-Bulk.

Calculated values
Excess energy over the best structure of this formula in the dataset   18.0 meV per atom
N(E_F)   3.041 states/eV/cell
Crystal system   monoclinic
Space group   Cm, No. 8
Formation energy (no corrections)   -0.22 eV per atom

```
12
Lattice="-8.6610 -8.9935 3.0261 2.2950 -1.3470 2.5653 -1.8531 4.5990 4.0727" Properties=species:S:1:pos:R:3 pbc="T T T"
Br -8.2238 -5.9880 6.8760
Br -4.7772 -5.3198 4.1434
Br -6.8513 -2.3468 4.8971
Br -8.4448 -7.6140 3.5570
Re -1.9495 -3.0160 2.8234
Re -3.8401 2.1428 4.5607
Re -4.0236 -0.0430 3.5771
Re -1.7661 -0.8302 3.8070
Mg -1.5636 1.9629 2.4295
Mg 0.5104 -1.0101 1.6759
Mg -4.4311 -4.4495 1.6278
Mg -4.2101 -2.8235 4.9468
```

# 17
The following is a PBE calculation of an optimized crystal structure of SiHgCl2, from Alexandria via LeMat-Bulk.

Calculated values
Excess energy over the best structure of this formula in the dataset   136.4 meV per atom
N(E_F)   0.309 states/eV/cell
Crystal system   monoclinic
Space group   P2/m, No. 10
Formation energy (no corrections)   -0.27 eV per atom

```
4
Lattice="3.4348 0.0000 0.0000 0.0000 3.0402 -0.0036 0.0000 0.3345 9.7769" Properties=species:S:1:pos:R:3 pbc="T T T"
Cl 0.0000 2.5312 9.0121
Cl 0.0000 2.5308 5.6479
Hg 1.7174 0.8437 2.4433
Si 1.7174 2.5310 7.3300
```

# 18
The following is a PBE calculation of an optimized crystal structure of BaTl2BiS4, from Alexandria via LeMat-Bulk.

Calculated values
N(E_F)   9.371 states/eV/cell
Crystal system   orthorhombic
Space group   Imma, No. 74
Formation energy (no corrections)   -0.72 eV per atom

```
16
Lattice="-4.0063 -4.8876 5.9388 3.1219 -7.1556 -3.7760 5.4297 6.6542 2.4306" Properties=species:S:1:pos:R:3 pbc="T T T"
Tl -1.2915 -1.5605 7.1540
Tl 0.7117 0.8833 4.1846
Tl 4.9875 0.6326 3.5119
Tl -2.0032 -2.4438 2.9694
Bi 2.2727 -2.6945 2.2966
Bi 1.4234 1.7666 8.3693
S 3.0502 1.2893 6.0407
S 2.2369 -5.5201 2.8704
S 4.6360 -2.5809 3.9447
S 1.4951 -6.6783 -1.4473
S -0.0907 -2.8081 0.6486
S 0.5518 -2.1066 4.5305
S 3.9935 -3.2824 0.0629
S 2.3085 0.1310 1.7229
Ba 1.5610 -3.5778 -1.8880
Ba 0.2695 -5.1383 5.2660
```

# 19
The following is a PBE calculation of an optimized crystal structure of RbCoNi2C, from Alexandria via LeMat-Bulk.

Calculated values
Calculated total energy   -2.236 eV per atom
N(E_F)   6.279 states/eV/cell
Crystal system   tetragonal
Space group   P4/mmm, No. 123

```
5
Lattice="-3.7904 -2.5022 0.3548 2.3987 -3.3107 2.2774 -0.9667 2.0264 3.9640" Properties=species:S:1:pos:R:3 pbc="T T T"
Ni -1.8952 -1.2511 0.1774
Ni -0.4833 1.0132 1.9820
Co 1.1994 -1.6554 1.1387
C -1.1792 -1.8932 3.2981
Rb 0.0000 0.0000 0.0000
```

# 20
The following is a PBE calculation of an optimized crystal structure of LiIn4SbS8, from Alexandria via LeMat-Bulk.

Calculated values
N(E_F)   1.730 states/eV/cell
Crystal system   trigonal
Space group   R3m, No. 160
Formation energy (no corrections)   -0.59 eV per atom

```
14
Lattice="-1.1137 -5.5717 -5.3489 -0.5093 -7.4708 2.1958 -6.8193 -3.7257 -0.3916" Properties=species:S:1:pos:R:3 pbc="T T T"
In -3.6762 -5.5246 0.8278
In -3.4334 -1.9627 -0.2190
In -3.9643 -4.6191 -2.7692
In -1.9079 -8.6132 -2.0153
S -6.1654 -12.5926 -2.6760
S -3.0597 -10.7976 -2.4729
S -5.4244 -5.9730 -1.0690
S -6.0044 -8.8745 -3.8545
S -2.7937 -6.8959 -3.6197
S -2.4780 -7.8878 0.3205
S -5.6897 -9.8635 0.0744
S -2.2211 -4.1811 -0.8746
Li -6.5809 -8.1504 -1.5245
Sb -6.6725 -3.7402 -0.4070
```